Below is a relaxed structure of CsLuPd, with properties calculated at the PBE-GGA level.

Structure (CIF):
```
data_CsLuPd
_chemical_formula_sum 'Cs4 Lu4 Pd4'
_space_group_name_H-M_alt 'F -4 3 m'
_space_group_IT_number 216
_space_group_name_Hall 'F -4 2 3'
_cell_length_a 7.431
_cell_length_b 7.431
_cell_length_c 7.431
_cell_angle_alpha 90.00
_cell_angle_beta 90.00
_cell_angle_gamma 90.00
loop_
_atom_site_label
_atom_site_type_symbol
_atom_site_fract_x
_atom_site_fract_y
_atom_site_fract_z
Cs1 Cs 0.000 0.000 0.000
Lu1 Lu 0.000 0.000 0.500
Pd1 Pd 0.250 0.250 0.250
```

**Electronic total energy**: -3.169 eV/atom
**Polymorph energy (0 for the lowest one)**: 0 meV per atom
**Theoretical density**: 6.705 Mg/m³

=====

Below is a relaxed structure of CsLuPdS3, with properties calculated at the PBE-GGA level.

Structure (CIF):
```
data_CsLuPdS3
_chemical_formula_sum 'Cs2 Lu2 Pd2 S6'
_space_group_name_H-M_alt 'P 1 21/m 1'
_space_group_IT_number 11
_cell_length_a 9.125
_cell_length_b 4.041
_cell_length_c 9.782
_cell_angle_alpha 90.00
_cell_angle_beta 110.46
_cell_angle_gamma 90.00
loop_
_space_group_symop_operation_xyz
'x,y,z'
'-x,-y,-z'
'-x,y+1/2,-z'
'x,-y+1/2,z'
loop_
_atom_site_label
_atom_site_type_symbol
_atom_site_fract_x
_atom_site_fract_y
_atom_site_fract_z
Cs1 Cs 0.213 0.250 0.245
Lu1 Lu 0.333 0.750 0.867
Pd1 Pd 0.080 0.250 0.594
S1 S 0.134 0.250 0.861
S2 S 0.199 0.750 0.567
S3 S 0.476 0.750 0.152
```

**Electronic total energy**: -5.044 eV/atom
**Theoretical density**: 5.016 Mg/m³